1.
8
Lattice="4.824 0.000 0.000 -2.412 4.177 0.000 0.000 0.000 11.559" Properties=species:S:1:pos:R:3 comment="BaZn2Cd PBE optimized geometry" magmom_total_mub_per_fu=0.00 spacegroup="P-3m1 (164)" total_energy_ev_per_cell=-11.7 pbc="T T T"
Ba 0.000 0.000 2.213
Ba 0.000 0.000 9.345
Zn 0.000 2.785 4.222
Zn 2.412 1.392 7.337
Zn 2.412 1.392 11.546
Zn 0.000 2.785 0.013
Cd 2.412 1.392 4.608
Cd 0.000 2.785 6.951

2.
13
Lattice="6.300 0.000 2.309 3.012 7.985 1.530 0.399 -0.101 8.660" Properties=species:S:1:pos:R:3 comment="TbY5Ho7 PBE optimized geometry" magmom_total_mub_per_fu=0.01 spacegroup="Imm2 (44)" total_energy_ev_per_cell=-65.4 pbc="T T T"
Tb 6.202 0.267 2.575
Y 3.584 0.006 5.199
Y 0.205 0.006 3.961
Y 4.758 3.641 1.994
Y 1.380 3.641 0.756
Y 7.342 5.754 9.215
Ho 5.068 3.363 5.671
Ho 4.190 5.760 8.067
Ho 1.315 2.404 6.161
Ho 2.209 5.171 3.721
Ho 2.483 1.820 2.974
Ho 5.771 6.454 3.753
Ho 4.051 1.130 8.447